Here is a relaxed LiW2I crystal from Alexandria. Energies are from GGA-PBE.

Mass density in g cm⁻³: 12.71
Relative energy among the computed polymorphs in eV/atom: 0.456
Space-group type: Fm-3m (225)
V in Å³/atom: 16.4
E_tot in Ry per atom: -0.4373

Cell and atoms, written as extended XYZ:
```
4
Lattice="0.000 3.200 3.200 3.200 0.000 3.200 3.200 3.200 0.000" Properties=species:S:1:pos:R:3 pbc="T T T"
Li 0.000 0.000 0.000
W 1.600 1.600 1.600
W 4.800 4.800 4.800
I 3.200 3.200 3.200
```